CsInMoF6 | PBE with a Hubbard U | relaxed

Computed properties:
Volume: 200.1 Å³ per cell
Magnetic moment: 4.00 μB per formula unit
ρ: 3.80 g/cm3
Calculated total energy: -4.86 eV/atom

Lattice parameters (Å, degrees): 5.982 6.028 6.256 90.71 91.02 117.47
Element x y z (fractional)
Cs  0.000  0.000  0.000
In  0.660  0.338  0.498
Mo  0.327  0.674  0.500
F  0.363  0.375  0.327
F  0.375  0.021  0.661
F  0.626  0.633  0.672
F  0.635  0.069  0.279
F  0.933  0.358  0.714
F  0.976  0.624  0.337